{
  "formula": "BaIBr",
  "functional": "PBE",
  "state": "optimized geometry",
  "lattice": [[8.1070, 0.0000, 0.0000], [0.0000, 8.1070, 0.0000], [0.0000, 0.0000, 8.1070]],
  "species": ["Ba", "Ba", "Ba", "Ba", "I", "I", "I", "I", "Br", "Br", "Br", "Br"],
  "fractional_positions": [[0.0000, 0.0000, 0.0000], [0.0000, 0.5000, 0.5000], [0.5000, 0.0000, 0.5000], [0.5000, 0.5000, 0.0000], [0.2500, 0.2500, 0.7500], [0.2500, 0.7500, 0.2500], [0.7500, 0.2500, 0.2500], [0.7500, 0.7500, 0.7500], [0.2500, 0.2500, 0.2500], [0.2500, 0.7500, 0.7500], [0.7500, 0.2500, 0.7500], [0.7500, 0.7500, 0.2500]],
  "n_ef_per_ev_atom": 0.000,
  "magnetic_moment_mub_per_cell": 0.00,
  "sg": "F-43m",
  "e_form_raw_mev_per_atom": -1977,
  "polymorph_energy_mev_per_atom": 42.6
}